Material: Cr3CuO8
Method: DFT, PBE+U
State: relaxed

abc: 5.016 5.016 6.525
angles: 86.92 86.92 67.42
Element x y z (fractional)
Cr  0.349  0.349  0.734
Cr  0.651  0.651  0.266
Cr  0.000  0.000  0.500
Cu  0.000  0.000  0.000
O  0.279  0.789  0.272
O  0.230  0.230  0.944
O  0.789  0.279  0.272
O  0.765  0.765  0.465
O  0.211  0.721  0.728
O  0.235  0.235  0.535
O  0.721  0.211  0.728
O  0.770  0.770  0.056

Results
Space-group type: C2/m (12)
Raw total energy (eV per atom): -6.755